Computed, not measured: ScCo2SnO6 after structural relaxation at the GGA+U level of DFT.

The value obtained for the raw total energy is -204.55 eV/cell.

Cell and atoms, written as CIF:
```
data_ScCo2SnO6
_chemical_formula_sum 'Sc3 Co6 Sn3 O18'
_cell_length_a 5.1993
_cell_length_b 5.1993
_cell_length_c 14.0865
_cell_angle_alpha 90.00
_cell_angle_beta 90.00
_cell_angle_gamma 120.00
_space_group_name_H-M_alt 'R 3'
_space_group_IT_number 146
_space_group_name_Hall 'R 3'
loop_
_atom_site_label
_atom_site_type_symbol
_atom_site_fract_x
_atom_site_fract_y
_atom_site_fract_z
Sc1 Sc 0.0000 0.0000 0.0000
Co1 Co 0.0000 0.0000 0.2026
Co2 Co 0.0000 0.0000 0.7195
Sn1 Sn 0.0000 0.0000 0.5107
O1 O 0.0344 0.6951 0.2739
O2 O 0.0430 0.3745 0.7807
```